(1)
DyHfZn17 GGA-PBE optimized geometry; magnetization = 0.000 μB/cell; ΔE_f = -2.9 eV/f.u.
1.0
-5.6011 -2.4178 2.8286
1.8093 -6.4757 0.0997
2.2393 -0.1731 6.3383
Dy Hf Zn
1 1 17
Direct
0.6647 0.6647 0.6647 Dy
0.3310 0.3310 0.3310 Hf
0.2985 0.0030 0.6971 Zn
0.6971 0.2985 0.0030 Zn
0.0030 0.6971 0.2985 Zn
0.2985 0.6971 0.0030 Zn
0.0030 0.2985 0.6971 Zn
0.6971 0.0030 0.2985 Zn
0.3494 0.8536 0.3494 Zn
0.3494 0.3494 0.8536 Zn
0.8536 0.3494 0.3494 Zn
0.6382 0.1781 0.6382 Zn
0.6382 0.6382 0.1781 Zn
0.1781 0.6382 0.6382 Zn
0.9913 0.5083 0.9913 Zn
0.9913 0.9913 0.5083 Zn
0.5083 0.9913 0.9913 Zn
0.9046 0.9046 0.9046 Zn
0.1048 0.1048 0.1048 Zn



(2)
DyPb2Cl8 GGA-PBE optimized geometry; magnetization = 0.000 μB/cell; electronic total energy = -3.799 eV/atom
1.0
6.7634 -0.0370 1.6627
1.6670 7.2148 2.1596
0.2656 0.2402 7.7051
Dy Pb Cl
1 2 8
Direct
0.0000 0.0000 0.0000 Dy
0.7851 0.6575 0.6575 Pb
0.2149 0.3425 0.3425 Pb
0.7605 0.9620 0.3385 Cl
0.2395 0.6615 0.0380 Cl
0.7391 0.8880 0.8880 Cl
0.2609 0.1120 0.1120 Cl
0.7605 0.3385 0.9620 Cl
0.2395 0.0380 0.6615 Cl
0.1895 0.5750 0.5750 Cl
0.8105 0.4250 0.4250 Cl



(3)
Pr2ScCo3H12 GGA-PBE optimized geometry; magnetization = 2.814 μB/cell; electronic total energy = -4.613 eV/atom
1.0
-2.4663 1.1295 -5.2192
-5.7133 -1.2529 -0.6222
-3.7464 4.5246 -0.3014
Pr Sc Co H
2 1 3 12
Direct
0.6158 0.6158 0.6158 Pr
0.3842 0.3842 0.3842 Pr
0.0000 0.0000 0.0000 Sc
0.5000 0.0000 0.0000 Co
0.0000 0.5000 0.0000 Co
0.0000 0.0000 0.5000 Co
0.2943 0.2943 0.8776 H
0.8790 0.8790 0.4039 H
0.4039 0.8790 0.8790 H
0.8776 0.2943 0.2943 H
0.8790 0.4039 0.8790 H
0.2943 0.8776 0.2943 H
0.7057 0.7057 0.1224 H
0.1210 0.1210 0.5961 H
0.5961 0.1210 0.1210 H
0.1224 0.7057 0.7057 H
0.1210 0.5961 0.1210 H
0.7057 0.1224 0.7057 H



(4)
Tb2Pm8Th GGA-PBE optimized geometry; excess energy over the best structure of this formula in the dataset = 1.79 eV/f.u.; magnetization = 0.000 μB/cell; ΔE_f = 2.1 eV/f.u.
1.0
-3.9364 -4.1135 0.1915
7.9269 -6.6173 -0.0919
6.4151 -4.8653 6.4659
Tb Pm Th
2 8 1
Direct
0.7448 0.2823 0.2823 Tb
0.2552 0.7177 0.7177 Tb
0.2734 0.1333 0.6074 Pm
0.2734 0.6074 0.1333 Pm
0.7266 0.8667 0.3926 Pm
0.2325 0.5464 0.5464 Pm
0.7266 0.3926 0.8667 Pm
0.2246 0.1840 0.1840 Pm
0.7754 0.8160 0.8160 Pm
0.7675 0.4536 0.4536 Pm
0.0000 0.0000 0.0000 Th



(5)
HoMgSi2 GGA-PBE optimized geometry; excess energy over the best structure of this formula in the dataset = 0.40 eV/f.u.; magnetization = 0.000 μB/cell
1.0
4.0167 0.0000 0.0000
0.0000 4.3457 0.0000
0.0000 0.0000 4.3457
Mg Si Ho
1 2 1
Direct
0.5000 0.0000 0.0000 Mg
0.0000 0.0000 0.5000 Si
0.0000 0.5000 0.0000 Si
0.5000 0.5000 0.5000 Ho



(6)
AlCuCl2 GGA-PBE optimized geometry; excess energy over the best structure of this formula in the dataset = 2.59 eV/f.u.; magnetization = 0.000 μB/cell
1.0
3.9069 -2.8183 0.0008
0.0655 -4.0271 -2.6429
2.7826 -0.2610 -3.9238
Al Cu Cl
1 1 2
Direct
0.0000 0.0000 0.0000 Al
0.5000 0.5000 0.5000 Cu
0.2500 0.2500 0.2500 Cl
0.7500 0.7500 0.7500 Cl



(7)
Ti2TlTeRu GGA-PBE optimized geometry; magnetization = 0.046 μB/cell; electronic total energy = -5.861 eV/atom
1.0
-1.2698 -2.2326 4.0174
4.9258 -1.5458 0.6979
0.8930 3.9686 2.4877
Ru Tl Te Ti
1 1 1 2
Direct
0.0000 0.0000 0.0000 Ru
0.0000 0.5000 0.0000 Tl
0.5000 0.5000 0.5000 Te
0.0000 0.0000 0.5000 Ti
0.5000 0.0000 0.0000 Ti



(8)
Dy2H2Ru GGA-PBE optimized geometry; magnetization = 0.000 μB/cell; electronic total energy = -5.433 eV/atom
1.0
3.3891 0.0000 0.0000
0.0000 3.3891 0.0000
0.0000 0.0000 6.6298
Dy H Ru
2 2 1
Direct
0.5000 0.5000 0.7438 Dy
0.5000 0.5000 0.2562 Dy
0.5000 0.0000 0.5000 H
0.0000 0.5000 0.5000 H
0.0000 0.0000 0.0000 Ru



(9)
TlCuW2 GGA-PBE optimized geometry; excess energy over the best structure of this formula in the dataset = 1.94 eV/f.u.; magnetization = 0.000 μB/cell; ΔE_f = 4.1 eV/f.u.
1.0
3.7940 0.0000 0.0000
0.0000 3.7940 0.0000
1.8970 1.8970 10.0962
Tl Cu W
2 2 4
Direct
0.0000 0.0000 0.0000 Tl
0.7500 0.2500 0.5000 Tl
0.5000 0.5000 0.0000 Cu
0.2500 0.7500 0.5000 Cu
0.6130 0.1250 0.2500 W
0.1370 0.6250 0.2500 W
0.3750 0.3870 0.7500 W
0.8750 0.8630 0.7500 W



(10)
Ca16Mg12Pd GGA-PBE optimized geometry; magnetization = 0.000 μB/cell; ΔE_f = -2.2 eV/f.u.
1.0
-9.3961 4.7894 -0.9418
-1.2776 -10.4014 -1.5134
3.7271 1.6244 9.7655
Ca Mg Pd
16 12 1
Direct
0.4298 0.4298 0.3142 Ca
0.0092 0.0092 0.0158 Ca
0.9843 0.9843 0.6493 Ca
0.2915 0.2915 0.7014 Ca
0.6548 0.4308 0.0300 Ca
0.5790 0.2894 0.5884 Ca
0.9940 0.6815 0.4094 Ca
0.9822 0.6403 0.9970 Ca
0.7163 0.3068 0.3070 Ca
0.4027 0.9932 0.6815 Ca
0.9932 0.4027 0.6815 Ca
0.3068 0.7163 0.3070 Ca
0.6403 0.9822 0.9970 Ca
0.6815 0.9940 0.4094 Ca
0.2894 0.5790 0.5884 Ca
0.4308 0.6548 0.0300 Ca
0.8250 0.8250 0.2044 Mg
0.6418 0.6418 0.8272 Mg
0.3400 0.1507 0.9740 Mg
0.8111 0.6337 0.6240 Mg
0.1821 0.9949 0.3569 Mg
0.3653 0.9895 0.1735 Mg
0.1789 0.7986 0.8165 Mg
0.7986 0.1789 0.8165 Mg
0.9895 0.3653 0.1735 Mg
0.9949 0.1821 0.3569 Mg
0.6337 0.8111 0.6240 Mg
0.1507 0.3400 0.9740 Mg
0.7028 0.7028 0.3715 Pd